Entry 1:
Entry from Alexandria: a relaxed structure of CrNO (PBE with a Hubbard U).

The value obtained for the relative energy among the computed polymorphs is 0.000 eV per atom. The calculation puts the total energy at -7.88 eV per atom.

The structure belongs to space group C2/m (No. 12); the cell edges are 4.178, 4.178 and 11.039 Å and the angles 90.00°, 97.74° and 90.00°. The asymmetric unit holds Cr at (0.205, 0.000, 0.375), N at (0.015, 0.000, 0.051) and O at (0.205, 0.500, 0.377).

Entry 2:
Entry from Alexandria: a relaxed structure of CaAc2CoO6 (PBE with a Hubbard U).

The calculation puts the total energy at -7.04 eV per atom.

The structure belongs to space group P2_1/c (No. 14); the cell edges are 5.789, 5.778 and 9.961 Å and the angles 90.00°, 124.77° and 90.00°. The asymmetric unit holds Ca at (0.000, 0.000, 0.000), Ac at (0.260, 0.032, 0.751), Co at (0.500, 0.000, 0.500), O at (0.198, 0.017, 0.272), O at (0.281, 0.699, 0.039) and O at (0.347, 0.238, 0.042).

Entry 3:
Entry from Alexandria: a relaxed structure of Li3V4PbO12 (PBE with a Hubbard U).

The calculation puts the total energy at -6.49 eV per atom.

The structure belongs to space group R32 (No. 155, hexagonal axes); the cell edges are 11.4649, 11.4649 and 6.5286 Å and the angles 90.00°, 90.00° and 120.00°. The asymmetric unit holds Li at (0.0000, 0.5694, 0.0000), V at (0.0000, 0.0000, 0.5000), V at (0.0000, 0.4318, 0.5000), Pb at (0.0000, 0.0000, 0.0000), O at (0.0000, 0.5773, 0.5000), O at (0.0000, 0.8509, 0.5000) and O at (0.0635, 0.2537, 0.1553).

Please write out number 1 again, unchanged.
Entry from Alexandria: a relaxed structure of CrNO (PBE with a Hubbard U).

The value obtained for the relative energy among the computed polymorphs is 0.000 eV per atom. The calculation puts the total energy at -7.88 eV per atom.

The structure belongs to space group C2/m (No. 12); the cell edges are 4.178, 4.178 and 11.039 Å and the angles 90.00°, 97.74° and 90.00°. The asymmetric unit holds Cr at (0.205, 0.000, 0.375), N at (0.015, 0.000, 0.051) and O at (0.205, 0.500, 0.377).